(1)
VASP calculation (GGA-PBE) on crystalline KFeCl4 at its relaxed geometry.

Results
Symmetry: P2_1/c
Size of the total moment (μB per formula unit): 5.0
Raw formation energy (eV per atom): -1.232
Energy (eV per atom): -4.057

Cell: 7.3704 10.3557 12.3952 Å, 90.00 126.36 90.00°
Element x y z (fractional)
K 0.0726 0.2432 0.2538
K 0.0726 0.2568 0.7538
K 0.9274 0.7432 0.2462
K 0.9274 0.7568 0.7462
Fe 0.4320 0.5072 0.6823
Fe 0.4320 0.9928 0.1823
Fe 0.5680 0.0072 0.8177
Fe 0.5680 0.4928 0.3177
Cl 0.1995 0.5278 0.1924
Cl 0.1995 0.9722 0.6924
Cl 0.2434 0.1640 0.0595
Cl 0.2434 0.3360 0.5595
Cl 0.3188 0.5426 0.8103
Cl 0.3188 0.9574 0.3103
Cl 0.3720 0.6783 0.5586
Cl 0.3720 0.8217 0.0586
Cl 0.6280 0.1783 0.9414
Cl 0.6280 0.3217 0.4414
Cl 0.6812 0.0426 0.6897
Cl 0.6812 0.4574 0.1897
Cl 0.7566 0.6640 0.4405
Cl 0.7566 0.8360 0.9405
Cl 0.8005 0.0278 0.3076
Cl 0.8005 0.4722 0.8076

(2)
VASP calculation (GGA-PBE) on crystalline Cs2RbZnGeSe at its relaxed geometry.

Results
Symmetry: P1
Size of the total moment (μB per formula unit): 0.2
Raw formation energy (eV per atom): -0.350
Energy (eV per atom): -2.358
N(E_F) (states/eV/cell): 3.7

Cell: 4.5787 10.7355 10.7839 Å, 62.00 77.85 77.78°
Element x y z (fractional)
Cs 0.0000 0.0000 0.0000
Cs 0.0009 0.4055 0.5922
Rb 0.2074 0.9914 0.5896
Zn 0.4193 0.7811 0.3732
Ge 0.8792 0.8215 0.4136
Se 0.5705 0.1309 0.7265

(3)
VASP calculation (GGA-PBE) on crystalline MnFe2Se at its relaxed geometry.

Results
Symmetry: P4mm
Size of the total moment (μB per formula unit): 8.6
Raw formation energy (eV per atom): 0.148
Energy (eV per atom): -7.247
N(E_F) (states/eV/cell): 3.7

Cell: 3.2052 3.2052 5.3217 Å, 90.00 90.00 90.00°
Element x y z (fractional)
Mn 0.0000 0.0000 0.0000
Fe 0.0000 0.0000 0.5177
Fe 0.5000 0.5000 0.7461
Se 0.5000 0.5000 0.2452

(4)
VASP calculation (GGA-PBE) on crystalline CaCuF4 at its relaxed geometry.

Results
Symmetry: I4_1/a
Size of the total moment (μB per formula unit): 1.0
Raw formation energy (eV per atom): -2.683
Energy (eV per atom): -4.947

Cell: 6.5968 6.5968 6.5968 Å, 130.97 130.97 71.87°
Element x y z (fractional)
Ca 0.3750 0.1250 0.2500
Ca 0.6250 0.8750 0.7500
Cu 0.1250 0.3750 0.7500
Cu 0.8750 0.6250 0.2500
F 0.0336 0.1445 0.3053
F 0.2283 0.5336 0.3891
F 0.3392 0.7283 0.1947
F 0.3555 0.1608 0.8891
F 0.6445 0.8392 0.1109
F 0.6608 0.2717 0.8053
F 0.7717 0.4664 0.6109
F 0.9664 0.8555 0.6947

(5)
VASP calculation (GGA-PBE) on crystalline KTcOs2 at its relaxed geometry.

Results
Symmetry: R-3m
Size of the total moment (μB per formula unit): 0.0
Formation enthalpy at 0 K (eV per atom): 0.688
Energy (eV per atom): -7.793
N(E_F) (states/eV/cell): 4.6

Cell: 10.3550 10.3550 10.3550 Å, 15.44 15.44 15.44°
Element x y z (fractional)
K 0.0000 0.0000 0.0000
Tc 0.5000 0.5000 0.5000
Os 0.2361 0.2361 0.2361
Os 0.7639 0.7639 0.7639

(6)
VASP calculation (GGA-PBE) on crystalline Ac2BiRh at its relaxed geometry.

Results
Symmetry: P2_1/m
Size of the total moment (μB per formula unit): 0.0
Formation enthalpy at 0 K (eV per atom): -0.731
Energy (eV per atom): -5.593
N(E_F) (states/eV/cell): 3.2

Cell: 6.7716 4.4639 9.3284 Å, 90.00 111.21 90.00°
Element x y z (fractional)
Ac 0.1690 0.2500 0.3911
Ac 0.2601 0.7500 0.0435
Ac 0.7399 0.2500 0.9565
Ac 0.8310 0.7500 0.6089
Bi 0.3720 0.7500 0.7030
Bi 0.6280 0.2500 0.2970
Rh 0.1062 0.2500 0.8009
Rh 0.8938 0.7500 0.1991

(7)
VASP calculation (GGA-PBE) on crystalline CaErCdHg at its relaxed geometry.

Results
Symmetry: P4mm
Size of the total moment (μB per formula unit): 0.0
Formation enthalpy at 0 K (eV per atom): -0.436
Energy (eV per atom): -2.382
N(E_F) (states/eV/cell): 2.1

Cell: 3.7624 3.7624 7.4883 Å, 90.00 90.00 90.00°
Element x y z (fractional)
Ca 0.0000 0.0000 0.0000
Er 0.0000 0.0000 0.4911
Cd 0.5000 0.5000 0.7319
Hg 0.5000 0.5000 0.2631

(8)
VASP calculation (GGA-PBE) on crystalline Pr3Dy2Y8 at its relaxed geometry.

Results
Symmetry: P2/m
Size of the total moment (μB per formula unit): 0.0
Formation enthalpy at 0 K (eV per atom): 0.248
Energy (eV per atom): -5.541
N(E_F) (states/eV/cell): 23.6

Cell: 7.7709 5.7124 10.8157 Å, 90.00 111.01 90.00°
Element x y z (fractional)
Pr 0.0000 0.0000 0.0000
Pr 0.2925 0.5000 0.9998
Pr 0.7075 0.5000 0.0002
Dy 0.2415 0.0000 0.4825
Dy 0.7585 0.0000 0.5175
Y 0.1357 0.5000 0.2714
Y 0.1821 0.0000 0.7820
Y 0.3268 0.5000 0.6525
Y 0.4003 0.0000 0.2181
Y 0.5997 0.0000 0.7819
Y 0.6732 0.5000 0.3475
Y 0.8179 0.0000 0.2180
Y 0.8643 0.5000 0.7286

(9)
VASP calculation (GGA-PBE) on crystalline SrLa2Si6 at its relaxed geometry.

Results
Symmetry: P6/mmm
Size of the total moment (μB per formula unit): 0.0
Raw formation energy (eV per atom): -0.524
Energy (eV per atom): -5.422
N(E_F) (states/eV/cell): 7.8

Cell: 7.2048 7.2048 4.4085 Å, 90.00 90.00 120.00°
Element x y z (fractional)
Sr 0.0000 0.0000 0.0000
La 0.3333 0.6667 0.0000
La 0.6667 0.3333 0.0000
Si 0.0000 0.3355 0.5000
Si 0.0000 0.6645 0.5000
Si 0.3355 0.0000 0.5000
Si 0.3355 0.3355 0.5000
Si 0.6645 0.0000 0.5000
Si 0.6645 0.6645 0.5000

(10)
VASP calculation (GGA-PBE) on crystalline ZrSi2Tc at its relaxed geometry.

Results
Symmetry: P4/mmm
Size of the total moment (μB per formula unit): 0.0
Raw formation energy (eV per atom): -0.527
Energy (eV per atom): -7.967
N(E_F) (states/eV/cell): 3.1

Cell: 3.0440 3.0440 6.6503 Å, 90.00 90.00 90.00°
Element x y z (fractional)
Zr 0.0000 0.0000 0.0000
Si 0.5000 0.5000 0.2961
Si 0.5000 0.5000 0.7039
Tc 0.0000 0.0000 0.5000

(11)
VASP calculation (GGA-PBE) on crystalline Y2ThCl at its relaxed geometry.

Results
Symmetry: R-3m
Size of the total moment (μB per formula unit): 0.0
Raw formation energy (eV per atom): -0.684
Energy (eV per atom): -6.232
N(E_F) (states/eV/cell): 3.6

Cell: 10.0150 10.0150 10.0150 Å, 20.96 20.96 20.96°
Element x y z (fractional)
Y 0.2399 0.2399 0.2399
Y 0.7601 0.7601 0.7601
Th 0.0000 0.0000 0.0000
Cl 0.5000 0.5000 0.5000

(12)
VASP calculation (GGA-PBE) on crystalline Rb2AlSiRu at its relaxed geometry.

Results
Symmetry: P4/mmm
Size of the total moment (μB per formula unit): 3.6
Raw formation energy (eV per atom): 1.111
Energy (eV per atom): -2.964
N(E_F) (states/eV/cell): 3.4

Cell: 6.4018 6.4018 4.7449 Å, 90.00 90.00 90.00°
Element x y z (fractional)
Rb 0.0000 0.5000 0.0000
Rb 0.5000 0.0000 0.0000
Al 0.0000 0.0000 0.5000
Si 0.5000 0.5000 0.5000
Ru 0.0000 0.0000 0.0000